The following is a DFT calculation (PBE-GGA) of Li4TmTl3 after structural relaxation.

## Properties
ΔH_f (0 K)   -0.213 eV/atom
Final energy   -2.616 eV/atom
Density of states at the Fermi level   0.403 states/eV/atom

The structure in CIF format:
```
data_Li4TmTl3
_space_group_name_H-M_alt 'R -3 m'
_space_group_IT_number 166
_space_group_name_Hall '-R 3 2"'
_cell_length_a 4.8620
_cell_length_b 4.8620
_cell_length_c 24.7212
_cell_angle_alpha 90.00
_cell_angle_beta 90.00
_cell_angle_gamma 120.00
loop_
_atom_site_label
_atom_site_type_symbol
_atom_site_fract_x
_atom_site_fract_y
_atom_site_fract_z
Li1 Li 0.0000 0.0000 0.1104
Li2 Li 0.0000 0.0000 0.3699
Tm1 Tm 0.0000 0.0000 0.5000
Tl1 Tl 0.0000 0.0000 0.0000
Tl2 Tl 0.0000 0.0000 0.2351
```

---

The following is a DFT calculation (PBE-GGA) of HgP2Ru after structural relaxation.

## Properties
ΔH_f (0 K)   0.651 eV/atom
Final energy   -4.448 eV/atom
Density of states at the Fermi level   0.903 states/eV/atom

The structure in CIF format:
```
data_HgP2Ru
_space_group_name_H-M_alt 'P 4/m m m'
_space_group_IT_number 123
_space_group_name_Hall '-P 4 2'
_cell_length_a 4.4205
_cell_length_b 4.4205
_cell_length_c 3.2766
_cell_angle_alpha 90.00
_cell_angle_beta 90.00
_cell_angle_gamma 90.00
loop_
_atom_site_label
_atom_site_type_symbol
_atom_site_fract_x
_atom_site_fract_y
_atom_site_fract_z
Hg1 Hg 0.0000 0.0000 0.0000
P1 P 0.0000 0.5000 0.5000
Ru1 Ru 0.5000 0.5000 0.0000
```

---

The following is a DFT calculation (PBE-GGA) of Ca2TlRuAu after structural relaxation.

## Properties
ΔH_f (0 K)   0.574 eV/atom
Final energy   -3.210 eV/atom
Density of states at the Fermi level   0.569 states/eV/atom

The structure in CIF format:
```
data_Ca2TlRuAu
_space_group_name_H-M_alt 'P 4/m m m'
_space_group_IT_number 123
_space_group_name_Hall '-P 4 2'
_cell_length_a 5.5173
_cell_length_b 5.5173
_cell_length_c 5.1971
_cell_angle_alpha 90.00
_cell_angle_beta 90.00
_cell_angle_gamma 90.00
loop_
_atom_site_label
_atom_site_type_symbol
_atom_site_fract_x
_atom_site_fract_y
_atom_site_fract_z
Ca1 Ca 0.0000 0.5000 0.0000
Tl1 Tl 0.0000 0.0000 0.5000
Ru1 Ru 0.5000 0.5000 0.5000
Au1 Au 0.0000 0.0000 0.0000
```

---

The following is a DFT calculation (PBE-GGA) of Rb3LiC2O6 after structural relaxation.

## Properties
Formation energy (no corrections)   -1.698 eV per atom
Final energy   -6.116 eV/atom
Density of states at the Fermi level   0.000 states/eV/atom

The structure in CIF format:
```
data_Rb3LiC2O6
_space_group_name_H-M_alt 'P -3 m 1'
_space_group_IT_number 164
_space_group_name_Hall '-P 3 2"'
_cell_length_a 5.7249
_cell_length_b 5.7249
_cell_length_c 7.0179
_cell_angle_alpha 90.00
_cell_angle_beta 90.00
_cell_angle_gamma 120.00
loop_
_atom_site_label
_atom_site_type_symbol
_atom_site_fract_x
_atom_site_fract_y
_atom_site_fract_z
Rb1 Rb 0.0000 0.0000 0.0000
Rb2 Rb 0.3333 0.6667 0.7137
Li1 Li 0.0000 0.0000 0.5000
C1 C 0.3333 0.6667 0.2918
O1 O 0.2014 0.4027 0.2929
```

---

The following is a DFT calculation (PBE-GGA) of ScMnRu2 after structural relaxation.

## Properties
ΔH_f (0 K)   -0.053 eV/atom
Final energy   -8.566 eV/atom
Density of states at the Fermi level   0.981 states/eV/atom

The structure in CIF format:
```
data_ScMnRu2
_space_group_name_H-M_alt 'I -4 m 2'
_space_group_IT_number 119
_space_group_name_Hall 'I -4 -2'
_cell_length_a 3.7892
_cell_length_b 3.7892
_cell_length_c 8.4741
_cell_angle_alpha 90.00
_cell_angle_beta 90.00
_cell_angle_gamma 90.00
loop_
_atom_site_label
_atom_site_type_symbol
_atom_site_fract_x
_atom_site_fract_y
_atom_site_fract_z
Sc1 Sc 0.0000 0.0000 0.0000
Mn1 Mn 0.0000 0.5000 0.7500
Ru1 Ru 0.0000 0.0000 0.5000
Ru2 Ru 0.0000 0.5000 0.2500
```

---

The following is a DFT calculation (PBE-GGA) of TiTl2Ge after structural relaxation.

## Properties
Offset from the most stable computed form   0 meV per atom
ΔH_f (0 K)   0.407 eV/atom
Final energy   -3.904 eV/atom
Density of states at the Fermi level   0.964 states/eV/atom

The structure in CIF format:
```
data_TiTl2Ge
_space_group_name_H-M_alt 'I -4 2 d'
_space_group_IT_number 122
_space_group_name_Hall 'I -4 2bw'
_cell_length_a 8.0423
_cell_length_b 8.0423
_cell_length_c 5.7969
_cell_angle_alpha 90.00
_cell_angle_beta 90.00
_cell_angle_gamma 90.00
loop_
_atom_site_label
_atom_site_type_symbol
_atom_site_fract_x
_atom_site_fract_y
_atom_site_fract_z
Ti1 Ti 0.0000 0.0000 0.0000
Tl1 Tl 0.2492 0.2500 0.6250
Ge1 Ge 0.0000 0.0000 0.5000
```

---

The following is a DFT calculation (PBE-GGA) of HgAuCl2 after structural relaxation.

## Properties
Formation energy (no corrections)   -0.118 eV per atom
Offset from the most stable computed form   125 meV per atom
Final energy   -1.936 eV/atom
Density of states at the Fermi level   0.498 states/eV/atom

The structure in CIF format:
```
data_HgAuCl2
_space_group_name_H-M_alt 'C m m m'
_space_group_IT_number 65
_space_group_name_Hall '-C 2 2'
_cell_length_a 3.7649
_cell_length_b 7.2826
_cell_length_c 8.4957
_cell_angle_alpha 90.00
_cell_angle_beta 90.00
_cell_angle_gamma 90.00
loop_
_atom_site_label
_atom_site_type_symbol
_atom_site_fract_x
_atom_site_fract_y
_atom_site_fract_z
Hg1 Hg 0.0000 0.0000 0.0000
Au1 Au 0.0000 0.0000 0.5000
Cl1 Cl 0.0000 0.5000 0.3072
```

---

The following is a DFT calculation (PBE-GGA) of Cs2Pa2Te7 after structural relaxation.

## Properties
Formation energy (no corrections)   -0.647 eV per atom
Offset from the most stable computed form   110 meV per atom
Final energy   -4.528 eV/atom
Density of states at the Fermi level   0.596 states/eV/atom

The structure in CIF format:
```
data_Cs2Pa2Te7
_space_group_name_H-M_alt 'C 1 2/m 1'
_space_group_IT_number 12
_cell_length_a 8.4603
_cell_length_b 8.4624
_cell_length_c 16.5634
_cell_angle_alpha 90.00
_cell_angle_beta 104.70
_cell_angle_gamma 90.00
loop_
_space_group_symop_operation_xyz
'x,y,z'
'-x,-y,-z'
'-x,y,-z'
'x,-y,z'
'x+1/2,y+1/2,z'
'-x+1/2,-y+1/2,-z'
'-x+1/2,y+1/2,-z'
'x+1/2,-y+1/2,z'
loop_
_atom_site_label
_atom_site_type_symbol
_atom_site_fract_x
_atom_site_fract_y
_atom_site_fract_z
Cs1 Cs 0.0000 0.2492 0.0000
Pa1 Pa 0.0946 0.0000 0.6848
Te1 Te 0.0000 0.0000 0.5000
Te2 Te 0.1613 0.2501 0.3271
Te3 Te 0.1849 0.0000 0.8668
```

---

The following is a DFT calculation (PBE-GGA) of Mo3W after structural relaxation.

## Properties
Offset from the most stable computed form   441 meV per atom
ΔH_f (0 K)   0.422 eV/atom
Final energy   -10.940 eV/atom
Density of states at the Fermi level   1.501 states/eV/atom

The structure in CIF format:
```
data_Mo3W
_space_group_name_H-M_alt 'P m -3 m'
_space_group_IT_number 221
_space_group_name_Hall '-P 4 2 3'
_cell_length_a 4.0175
_cell_length_b 4.0175
_cell_length_c 4.0175
_cell_angle_alpha 90.00
_cell_angle_beta 90.00
_cell_angle_gamma 90.00
loop_
_atom_site_label
_atom_site_type_symbol
_atom_site_fract_x
_atom_site_fract_y
_atom_site_fract_z
Mo1 Mo 0.0000 0.0000 0.5000
W1 W 0.5000 0.5000 0.5000
```

---

The following is a DFT calculation (PBE-GGA) of Be2TlSe after structural relaxation.

## Properties
Formation energy (no corrections)   0.525 eV per atom
Offset from the most stable computed form   485 meV per atom
Final energy   -2.800 eV/atom
Density of states at the Fermi level   0.504 states/eV/atom

The structure in CIF format:
```
data_Be2TlSe
_space_group_name_H-M_alt 'P 4/m m m'
_space_group_IT_number 123
_space_group_name_Hall '-P 4 2'
_cell_length_a 3.2029
_cell_length_b 3.2029
_cell_length_c 6.9230
_cell_angle_alpha 90.00
_cell_angle_beta 90.00
_cell_angle_gamma 90.00
loop_
_atom_site_label
_atom_site_type_symbol
_atom_site_fract_x
_atom_site_fract_y
_atom_site_fract_z
Be1 Be 0.0000 0.0000 0.1604
Tl1 Tl 0.5000 0.5000 0.5000
Se1 Se 0.5000 0.5000 0.0000
```

---

The following is a DFT calculation (PBE-GGA) of CePrTlIn after structural relaxation.

## Properties
Offset from the most stable computed form   4 meV per atom
ΔH_f (0 K)   -0.341 eV/atom
Final energy   -4.295 eV/atom
Density of states at the Fermi level   2.225 states/eV/atom

The structure in CIF format:
```
data_CePrTlIn
_space_group_name_H-M_alt 'F -4 3 m'
_space_group_IT_number 216
_space_group_name_Hall 'F -4 2 3'
_cell_length_a 7.8098
_cell_length_b 7.8098
_cell_length_c 7.8098
_cell_angle_alpha 90.00
_cell_angle_beta 90.00
_cell_angle_gamma 90.00
loop_
_atom_site_label
_atom_site_type_symbol
_atom_site_fract_x
_atom_site_fract_y
_atom_site_fract_z
Ce1 Ce 0.0000 0.0000 0.0000
Pr1 Pr 0.0000 0.0000 0.5000
Tl1 Tl 0.2500 0.2500 0.7500
In1 In 0.2500 0.2500 0.2500
```

---

The following is a DFT calculation (PBE-GGA) of YSc2PdC after structural relaxation.

## Properties
ΔH_f (0 K)   -0.519 eV/atom
Final energy   -7.228 eV/atom
Density of states at the Fermi level   0.862 states/eV/atom

The structure in CIF format:
```
data_YSc2PdC
_space_group_name_H-M_alt 'P 4/m m m'
_space_group_IT_number 123
_space_group_name_Hall '-P 4 2'
_cell_length_a 4.4169
_cell_length_b 4.4169
_cell_length_c 4.9965
_cell_angle_alpha 90.00
_cell_angle_beta 90.00
_cell_angle_gamma 90.00
loop_
_atom_site_label
_atom_site_type_symbol
_atom_site_fract_x
_atom_site_fract_y
_atom_site_fract_z
Y1 Y 0.0000 0.0000 0.0000
Sc1 Sc 0.0000 0.5000 0.5000
Pd1 Pd 0.5000 0.5000 0.0000
C1 C 0.0000 0.0000 0.5000
```